No. 1
The following is a PBE calculation of a relaxed structure of HfCd4, from Alexandria via LeMat-Bulk.

Summary:
The value obtained for the density of states at the Fermi level is 2.43 states/eV per cell. The value obtained for the calculated volume is 107.6 Å³ per cell. The calculation puts the energy of formation from the pure elements at 5 meV/atom. The calculation puts the polymorph energy (0 for the lowest one) at 0.0000 eV/atom. As for the space group: I4/mmm, No. 139.

Unit cell a=3.1888 b=3.1888 c=10.8215 alpha=98.47 beta=98.47 gamma=90.00
Closest atoms and distances in Å follow each position.
Element x y z (fractional)
Cd 0.4002 0.4002 0.8003  4 Hf 3.09, 8 Cd 3.09-3.19
Cd 0.5998 0.5998 0.1997  4 Hf 3.09, 8 Cd 3.09-3.19
Cd 0.1997 0.1997 0.3994  12 Cd 3.09-3.19
Cd 0.8003 0.8003 0.6006  12 Cd 3.09-3.19
Hf 0.0000 0.0000 0.0000  8 Cd 3.09, 4 Hf 3.19

***

No. 2
The following is a PBE calculation of a relaxed structure of Hf7Cd5, from Alexandria via LeMat-Bulk.

Summary:
The value obtained for the density of states at the Fermi level is 10.30 states/eV per cell. The value obtained for the calculated volume is 260.6 Å³ per cell. The calculation puts the energy of formation from the pure elements at 21 meV/atom. As for the space group: Cm, No. 8.

Unit cell a=4.4552 b=6.8223 c=9.5734 alpha=73.56 beta=76.54 gamma=70.94
Closest atoms and distances in Å follow each position.
Element x y z (fractional)
Hf 0.0835 0.5820 0.2509  7 Hf 3.07-3.17, 5 Cd 3.09-3.18
Hf 0.4956 0.5164 0.4924  8 Hf 3.02-3.18, 4 Cd 3.09-3.22
Cd 0.7478 0.2473 0.2571  9 Hf 3.08-3.17, 3 Cd 3.15-3.22
Cd 0.6698 0.6603 0.0000  5 Cd 3.08-3.20, 7 Hf 3.11-3.18
Hf 0.1670 0.1610 0.5049  5 Cd 3.08-3.16, 7 Hf 3.10-3.18
Hf 0.2487 0.7498 0.7529  5 Hf 3.08-3.23, 7 Cd 3.11-3.16
Cd 0.5805 0.0903 0.7487  4 Cd 3.06-3.20, 8 Hf 3.12-3.21
Hf 0.0013 0.9978 0.9995  4 Hf 3.08-3.18, 8 Cd 3.09-3.18
Cd 0.9182 0.4160 0.7477  5 Cd 3.06-3.20, 7 Hf 3.08-3.22
Cd 0.3352 0.3293 0.0002  7 Cd 3.08-3.22, 5 Hf 3.09-3.14
Hf 0.4154 0.9193 0.2498  8 Hf 3.03-3.18, 4 Cd 3.08-3.15
Hf 0.8369 0.8305 0.4957  9 Hf 3.02-3.23, 3 Cd 3.08-3.18

***

No. 3
The following is a PBE calculation of a relaxed structure of Hf3Cd5, from Alexandria via LeMat-Bulk.

Summary:
The value obtained for the density of states at the Fermi level is 8.20 states/eV per cell. The value obtained for the calculated volume is 170.1 Å³ per cell. The calculation puts the energy of formation from the pure elements at 2 meV/atom. As for the space group: P4/mmm, No. 123.

Unit cell a=3.1431 b=3.1431 c=17.2179 alpha=90.00 beta=90.00 gamma=90.00
Closest atoms and distances in Å follow each position.
Element x y z (fractional)
Hf 0.5000 0.5000 0.8747  8 Cd 3.10, 4 Hf 3.14
Cd 0.0000 0.0000 0.2505  8 Cd 3.09-3.14, 4 Hf 3.10
Cd 0.0000 0.0000 0.0000  8 Hf 3.10, 4 Cd 3.14
Hf 0.0000 0.0000 0.5000  8 Cd 3.09, 4 Hf 3.14
Hf 0.5000 0.5000 0.1253  8 Cd 3.10, 4 Hf 3.14
Cd 0.5000 0.5000 0.3754  4 Hf 3.09, 8 Cd 3.09-3.14
Cd 0.0000 0.0000 0.7495  8 Cd 3.09-3.14, 4 Hf 3.10
Cd 0.5000 0.5000 0.6246  4 Hf 3.09, 8 Cd 3.09-3.14

***

No. 4
The following is a PBE calculation of a relaxed structure of Hf3Cd, from Alexandria via LeMat-Bulk.

Summary:
The value obtained for the density of states at the Fermi level is 4.76 states/eV per cell. The value obtained for the calculated volume is 92.0 Å³ per cell. The calculation puts the energy of formation from the pure elements at 223 meV/atom. The calculation puts the polymorph energy (0 for the lowest one) at 0.2159 eV/atom. As for the space group: Pmm2, No. 25.

Unit cell a=3.0478 b=3.0233 c=9.9806 alpha=90.00 beta=90.00 gamma=90.00
Closest atoms and distances in Å follow each position.
Element x y z (fractional)
Hf 0.5000 0.0000 0.6915  8 Hf 3.02-3.06, 2 Cd 3.15
Hf 0.5000 0.5000 0.2011  6 Hf 3.02-3.11, 4 Cd 3.17
Hf 0.0000 0.5000 0.4731  10 Hf 3.02-3.11
Cd 0.0000 0.0000 0.9676  4 Cd 3.02-3.05, 6 Hf 3.15-3.17

***

No. 5
The following is a PBE calculation of a relaxed structure of HfCd2Hg, from Alexandria via LeMat-Bulk.

Summary:
The value obtained for the density of states at the Fermi level is 2.47 states/eV per cell. The value obtained for the calculated volume is 87.6 Å³ per cell. The calculation puts the energy of formation from the pure elements at 34 meV/atom. As for the space group: P4/mmm, No. 123.

Unit cell a=3.2081 b=3.2081 c=8.5074 alpha=90.00 beta=90.00 gamma=90.00
Closest atoms and distances in Å follow each position.
Element x y z (fractional)
Cd 0.0000 0.0000 0.7468  4 Hf 3.09, 4 Hg 3.13, 4 Cd 3.21
Cd 0.0000 0.0000 0.2532  4 Hf 3.09, 4 Hg 3.13, 4 Cd 3.21
Hf 0.5000 0.5000 0.5000  8 Cd 3.09, 4 Hf 3.21
Hg 0.5000 0.5000 0.0000  8 Cd 3.13, 4 Hg 3.21

***

No. 6
The following is a PBE calculation of a relaxed structure of Hf4Cd2Hg, from Alexandria via LeMat-Bulk.

Summary:
The value obtained for the density of states at the Fermi level is 5.28 states/eV per cell. The value obtained for the calculated volume is 155.7 Å³ per cell. The calculation puts the energy of formation from the pure elements at -66 meV/atom. As for the space group: Cmmm, No. 65.

Unit cell a=3.1186 b=3.0955 c=16.2059 alpha=95.48 beta=90.00 gamma=90.00
Closest atoms and distances in Å follow each position.
Element x y z (fractional)
Hf 0.5000 0.9300 0.8600  8 Hf 3.06-3.12, 4 Hg 3.15
Hf 0.0000 0.3640 0.7280  8 Hf 3.06-3.12, 4 Cd 3.24
Cd 0.5000 0.2100 0.4199  6 Cd 3.01-3.12, 4 Hf 3.24
Hf 0.5000 0.0700 0.1400  8 Hf 3.06-3.12, 4 Hg 3.15
Cd 0.5000 0.7900 0.5801  6 Cd 3.01-3.12, 4 Hf 3.24
Hg 0.0000 0.5000 0.0000  4 Hg 3.10-3.12, 8 Hf 3.15
Hf 0.0000 0.6360 0.2720  8 Hf 3.06-3.12, 4 Cd 3.24

***

No. 7
The following is a PBE calculation of a relaxed structure of HfCd2Hg, from Alexandria via LeMat-Bulk.

Summary:
The value obtained for the density of states at the Fermi level is 3.11 states/eV per cell. The value obtained for the calculated volume is 89.0 Å³ per cell. The calculation puts the energy of formation from the pure elements at 63 meV/atom. As for the space group: R3m, No. 160.

Unit cell a=3.1526 b=3.1526 c=10.4995 alpha=81.37 beta=81.37 gamma=60.00
Closest atoms and distances in Å follow each position.
Element x y z (fractional)
Cd 0.0839 0.0839 0.7484  6 Cd 3.15, 3 Hf 3.15, 3 Hg 3.18
Cd 0.2493 0.2493 0.2521  3 Hf 3.14, 6 Cd 3.15, 3 Hg 3.18
Hf 0.5002 0.5002 0.4994  6 Cd 3.14-3.15, 6 Hf 3.15
Hg 0.6666 0.6666 0.0001  6 Hg 3.15, 6 Cd 3.18

***

No. 8
The following is a PBE calculation of a relaxed structure of HfCdHg, from Alexandria via LeMat-Bulk.

Summary:
The value obtained for the density of states at the Fermi level is 2.10 states/eV per cell. The value obtained for the calculated volume is 64.3 Å³ per cell. The calculation puts the energy of formation from the pure elements at -4 meV/atom. As for the space group: I4mm, No. 107.

Unit cell a=3.1899 b=3.1899 c=6.7062 alpha=103.76 beta=103.76 gamma=90.00
Closest atoms and distances in Å follow each position.
Element x y z (fractional)
Hf 0.6690 0.6690 0.3379  4 Hg 3.04, 4 Cd 3.10, 4 Hf 3.19
Cd 0.0007 0.0007 0.0015  4 Hf 3.10, 4 Hg 3.12, 4 Cd 3.19
Hg 0.3303 0.3303 0.6606  4 Hf 3.04, 4 Cd 3.12, 4 Hg 3.19

***

No. 9
The following is a PBE calculation of a relaxed structure of Hf2CdHg2, from Alexandria via LeMat-Bulk.

Summary:
The value obtained for the density of states at the Fermi level is 10.07 states/eV per cell. The value obtained for the calculated volume is 220.3 Å³ per cell. The calculation puts the energy of formation from the pure elements at 104 meV/atom. As for the space group: P4/mbm, No. 127.

Unit cell a=7.9757 b=7.9757 c=3.4635 alpha=90.00 beta=90.00 gamma=90.00
Closest atoms and distances in Å follow each position.
Element x y z (fractional)
Hf 0.6705 0.8295 0.5000  6 Hg 2.84-2.98
Hg 0.1303 0.3697 0.0000  6 Hf 2.84-2.98, 1 Hg 2.94, 2 Cd 3.13
Hg 0.8697 0.6303 0.0000  6 Hf 2.84-2.98, 1 Hg 2.94, 2 Cd 3.13
Cd 0.5000 0.5000 0.0000  4 Hg 3.13, 8 Hf 3.43, 2 Cd 3.46
Hf 0.3295 0.1705 0.5000  6 Hg 2.84-2.98
Hf 0.8295 0.3295 0.5000  6 Hg 2.84-2.98
Cd 0.0000 0.0000 0.0000  4 Hg 3.13, 8 Hf 3.43, 2 Cd 3.46
Hg 0.6303 0.1303 0.0000  6 Hf 2.84-2.98, 1 Hg 2.94, 2 Cd 3.13
Hf 0.1705 0.6705 0.5000  6 Hg 2.84-2.98
Hg 0.3697 0.8697 0.0000  6 Hf 2.84-2.98, 1 Hg 2.94, 2 Cd 3.13

***

No. 10
The following is a PBE calculation of a relaxed structure of HfCdHg, from Alexandria via LeMat-Bulk.

Summary:
The value obtained for the density of states at the Fermi level is 2.23 states/eV per cell. The value obtained for the calculated volume is 66.3 Å³ per cell. The calculation puts the energy of formation from the pure elements at 59 meV/atom. As for the space group: P3m1, No. 156.

Unit cell a=3.1797 b=3.1797 c=7.5725 alpha=90.00 beta=90.00 gamma=120.00
Closest atoms and distances in Å follow each position.
Element x y z (fractional)
Hf 0.6667 0.3333 0.3365  3 Hg 3.08, 3 Cd 3.14, 6 Hf 3.18
Hg 0.3333 0.6667 0.6634  3 Hf 3.08, 3 Cd 3.14, 6 Hg 3.18
Cd 0.0000 0.0000 0.0001  3 Hf 3.14, 3 Hg 3.14, 6 Cd 3.18

***

No. 11
The following is a PBE calculation of a relaxed structure of HfCd3Hg, from Alexandria via LeMat-Bulk.

Summary:
The value obtained for the density of states at the Fermi level is 6.93 states/eV per cell. The value obtained for the calculated volume is 190.2 Å³ per cell. The calculation puts the energy of formation from the pure elements at 833 meV/atom. The calculation puts the polymorph energy (0 for the lowest one) at 0.7941 eV/atom. As for the space group: Pm-3m, No. 221.

Unit cell a=5.7506 b=5.7506 c=5.7506 alpha=90.00 beta=90.00 gamma=90.00
Closest atoms and distances in Å follow each position.
Element x y z (fractional)
Cd 0.5000 0.0000 0.0000  2 Hf 2.88
Hf 0.0000 0.0000 0.0000  6 Cd 2.88
Cd 0.0000 0.0000 0.5000  2 Hf 2.88
Hg 0.5000 0.5000 0.5000  12 Cd 4.07
Cd 0.0000 0.5000 0.0000  2 Hf 2.88

***

No. 12
The following is a PBE calculation of a relaxed structure of HfCd2Hg, from Alexandria via LeMat-Bulk.

Summary:
The value obtained for the density of states at the Fermi level is 3.67 states/eV per cell. The value obtained for the calculated volume is 85.3 Å³ per cell. The calculation puts the energy of formation from the pure elements at 19 meV/atom. As for the space group: P4/mmm, No. 123.

Unit cell a=4.5790 b=4.3155 c=4.3155 alpha=90.00 beta=90.00 gamma=90.00
Closest atoms and distances in Å follow each position.
Element x y z (fractional)
Cd 0.0000 0.5000 0.0000  4 Cd 3.05, 4 Hg 3.15, 4 Hf 3.15
Hg 0.5000 0.5000 0.5000  4 Hf 3.05, 8 Cd 3.15
Hf 0.5000 0.0000 0.0000  4 Hg 3.05, 8 Cd 3.15
Cd 0.0000 0.0000 0.5000  4 Cd 3.05, 4 Hg 3.15, 4 Hf 3.15

***

Q: What is the calculated volume in the eighth record?
A: 64.3 Å³ per cell

***

Q: Among the records above, which one has the lowest energy of formation from the pure elements?
A: Hf4Cd2Hg